1.
Density functional theory data (PBE-GGA) for a relaxed BeTcPO2 crystal.

```
5
Lattice="3.287 0.000 0.000 0.000 3.287 0.000 0.000 0.000 5.836" Properties=species:S:1:pos:R:3 pbc="T T T"
Be 0.000 0.000 0.000
Tc 1.643 1.643 2.918
P 0.000 0.000 2.918
O 0.000 1.643 0.000
O 1.643 0.000 0.000
```

The calculated volume is 63.05 Å³ per cell. The formation energy without anion corrections is -205 meV/atom. The value obtained for the distance to the lowest polymorph of the same formula is 200 meV per atom.

---

2.
Density functional theory data (PBE-GGA) for a relaxed BeTePO2 crystal.

```
5
Lattice="3.897 0.000 0.000 0.000 3.897 0.000 0.000 0.000 5.334" Properties=species:S:1:pos:R:3 pbc="T T T"
Be 0.000 0.000 0.000
Te 1.948 1.948 2.667
P 1.948 1.948 0.000
O 0.000 1.948 2.667
O 1.948 0.000 2.667
```

The calculated volume is 80.98 Å³ per cell. The formation energy without anion corrections is 129 meV/atom. The value obtained for the distance to the lowest polymorph of the same formula is 260 meV per atom.

---

3.
Density functional theory data (PBE-GGA) for a relaxed BeTeP2O crystal.

```
5
Lattice="5.013 0.000 0.000 0.000 5.013 0.000 0.000 0.000 3.082" Properties=species:S:1:pos:R:3 pbc="T T T"
Be 0.000 0.000 0.000
Te 2.506 2.506 1.541
P 0.000 2.506 0.000
P 2.506 0.000 0.000
O 0.000 0.000 1.541
```

The calculated volume is 77.44 Å³ per cell. The formation energy without anion corrections is 16 meV/atom. The value obtained for the distance to the lowest polymorph of the same formula is 0 meV per atom.

---

4.
Density functional theory data (PBE-GGA) for a relaxed BeTeP2O crystal.

```
5
Lattice="5.100 0.000 0.000 0.000 5.100 0.000 0.000 0.000 3.890" Properties=species:S:1:pos:R:3 pbc="T T T"
Be 0.000 0.000 0.000
Te 2.550 2.550 1.945
P 0.000 2.550 1.945
P 2.550 0.000 1.945
O 2.550 2.550 0.000
```

The calculated volume is 101.18 Å³ per cell. The formation energy without anion corrections is 954 meV/atom. The value obtained for the distance to the lowest polymorph of the same formula is 939 meV per atom.